[1]
VASP calculation (GGA-PBE) on a geometry-optimized CoGe2Os structure.

Values from the calculation:
raw total energy = -110.11 eV for the cell shown

a = 5.6703 Å, b = 7.0135 Å, c = 5.7174 Å
α = 90.00°, β = 90.00°, γ = 90.00°
Closest atoms and distances in Å follow each position.
Fractional positions:
Ge 0.1630 0.2451 0.5853  3 Co 2.44-2.58, 3 Os 2.50-2.57, 1 Ge 2.64
Ge 0.6630 0.7451 0.5853  3 Co 2.44-2.58, 3 Os 2.50-2.57, 1 Ge 2.64
Ge 0.1630 0.7549 0.4147  3 Co 2.44-2.58, 3 Os 2.50-2.57, 1 Ge 2.64
Ge 0.3370 0.7451 0.9147  3 Co 2.44-2.58, 3 Os 2.50-2.57, 1 Ge 2.64
Ge 0.3370 0.2549 0.0853  3 Co 2.44-2.58, 3 Os 2.50-2.57, 1 Ge 2.64
Ge 0.8370 0.2451 0.9147  3 Co 2.44-2.58, 3 Os 2.50-2.57, 1 Ge 2.64
Ge 0.6630 0.2549 0.4147  3 Co 2.44-2.58, 3 Os 2.50-2.57, 1 Ge 2.64
Ge 0.8370 0.7549 0.0853  3 Co 2.44-2.58, 3 Os 2.50-2.57, 1 Ge 2.64
Os 0.5000 0.0598 0.7500  6 Ge 2.50-2.57, 1 Co 2.76
Os 0.0000 0.5598 0.7500  6 Ge 2.50-2.57, 1 Co 2.76
Os 0.0000 0.4402 0.2500  6 Ge 2.50-2.57, 1 Co 2.76
Os 0.5000 0.9402 0.2500  6 Ge 2.50-2.57, 1 Co 2.76
Co 0.5000 0.5472 0.2500  6 Ge 2.44-2.58
Co 0.0000 0.9528 0.7500  6 Ge 2.44-2.58
Co 0.5000 0.4528 0.7500  6 Ge 2.44-2.58
Co 0.0000 0.0472 0.2500  6 Ge 2.44-2.58

=====

[2]
VASP calculation (GGA-PBE) on a geometry-optimized Co2Ge2Os structure.

Values from the calculation:
raw total energy = -67.18 eV for the cell shown

a = 6.9286 Å, b = 6.9286 Å, c = 2.6686 Å
α = 90.00°, β = 90.00°, γ = 90.00°
Closest atoms and distances in Å follow each position.
Fractional positions:
Ge 0.1677 0.6677 0.5000  6 Co 2.38-2.48
Ge 0.8323 0.3323 0.5000  6 Co 2.38-2.48
Ge 0.6677 0.8323 0.5000  6 Co 2.38-2.48
Ge 0.3323 0.1677 0.5000  6 Co 2.38-2.48
Os 0.0000 0.0000 0.0000  2 Os 2.67, 4 Co 2.71, 8 Ge 2.90
Os 0.5000 0.5000 0.0000  2 Os 2.67, 4 Co 2.71, 8 Ge 2.90
Co 0.8690 0.6310 0.0000  6 Ge 2.38-2.48, 1 Co 2.57
Co 0.1310 0.3690 0.0000  6 Ge 2.38-2.48, 1 Co 2.57
Co 0.3690 0.8690 0.0000  6 Ge 2.38-2.48, 1 Co 2.57
Co 0.6310 0.1310 0.0000  6 Ge 2.38-2.48, 1 Co 2.57

=====

[3]
VASP calculation (GGA-PBE) on a geometry-optimized Co3Ge6Os structure.

Values from the calculation:
raw total energy = -120.45 eV for the cell shown

a = 6.2486 Å, b = 6.0939 Å, c = 8.2010 Å
α = 90.00°, β = 104.60°, γ = 90.00°
Closest atoms and distances in Å follow each position.
Fractional positions:
Ge 0.3579 0.8110 0.1039  2 Co 2.34-2.44, 1 Os 2.47
Ge 0.7053 0.4875 0.2780  3 Co 2.32-2.51, 1 Os 2.48
Ge 0.2947 0.5125 0.7220  3 Co 2.32-2.51, 1 Os 2.48
Ge 0.2053 0.0125 0.7780  3 Co 2.32-2.51, 1 Os 2.48
Ge 0.3274 0.8706 0.4342  4 Co 2.38-2.55, 1 Os 2.50
Ge 0.1421 0.3110 0.3961  2 Co 2.34-2.44, 1 Os 2.47
Ge 0.8579 0.6890 0.6039  2 Co 2.34-2.44, 1 Os 2.47
Ge 0.8274 0.6294 0.9342  4 Co 2.38-2.55, 1 Os 2.50
Ge 0.1726 0.3706 0.0658  4 Co 2.38-2.55, 1 Os 2.50
Ge 0.6421 0.1890 0.8961  2 Co 2.34-2.44, 1 Os 2.47
Ge 0.6726 0.1294 0.5658  4 Co 2.38-2.55, 1 Os 2.50
Ge 0.7947 0.9875 0.2220  3 Co 2.32-2.51, 1 Os 2.48
Co 0.5356 0.8463 0.7434  6 Ge 2.38-2.55
Co 0.0000 0.0000 0.5000  6 Ge 2.32-2.38
Co 0.0356 0.6537 0.2434  6 Ge 2.38-2.55
Co 0.9644 0.3463 0.7566  6 Ge 2.38-2.55
Co 0.4644 0.1537 0.2566  6 Ge 2.38-2.55
Co 0.5000 0.5000 0.0000  6 Ge 2.32-2.38
Os 0.0000 0.0000 0.0000  6 Ge 2.47-2.50
Os 0.5000 0.5000 0.5000  6 Ge 2.47-2.50

=====

[4]
VASP calculation (GGA-PBE) on a geometry-optimized Co2Ge4Os structure.

Values from the calculation:
raw total energy = -175.64 eV for the cell shown

a = 3.2944 Å, b = 10.4950 Å, c = 12.0732 Å
α = 90.00°, β = 90.00°, γ = 90.00°
Closest atoms and distances in Å follow each position.
Fractional positions:
Os 0.7500 0.7669 0.8335  5 Ge 2.45-2.61
Os 0.2500 0.2331 0.1665  5 Ge 2.45-2.61
Os 0.7500 0.2669 0.6665  5 Ge 2.45-2.61
Os 0.2500 0.7331 0.3335  5 Ge 2.45-2.61
Co 0.2500 0.4040 0.9536  6 Ge 2.31-2.38
Co 0.2500 0.4523 0.3486  6 Ge 2.37-2.52
Co 0.2500 0.9040 0.5464  6 Ge 2.31-2.38
Co 0.2500 0.9523 0.1514  6 Ge 2.37-2.52
Co 0.7500 0.5477 0.6514  6 Ge 2.37-2.52
Co 0.7500 0.0477 0.8486  6 Ge 2.37-2.52
Co 0.7500 0.0960 0.4536  6 Ge 2.31-2.38
Co 0.7500 0.5960 0.0464  6 Ge 2.31-2.38
Ge 0.2500 0.9064 0.9487  3 Co 2.49-2.52, 2 Os 2.61
Ge 0.7500 0.9265 0.6832  3 Co 2.34-2.37, 1 Os 2.47
Ge 0.7500 0.3823 0.0913  3 Co 2.31-2.35, 2 Os 2.45
Ge 0.7500 0.2889 0.3493  3 Co 2.38
Ge 0.2500 0.0735 0.3168  3 Co 2.34-2.37, 1 Os 2.47
Ge 0.7500 0.7889 0.1507  3 Co 2.38
Ge 0.2500 0.4064 0.5513  3 Co 2.49-2.52, 2 Os 2.61
Ge 0.2500 0.5735 0.1832  3 Co 2.34-2.37, 1 Os 2.47
Ge 0.2500 0.2111 0.8493  3 Co 2.38
Ge 0.2500 0.7111 0.6507  3 Co 2.38
Ge 0.7500 0.5936 0.4487  3 Co 2.49-2.52, 2 Os 2.61
Ge 0.2500 0.6177 0.9087  3 Co 2.31-2.35, 2 Os 2.45
Ge 0.2500 0.1177 0.5913  3 Co 2.31-2.35, 2 Os 2.45
Ge 0.7500 0.0936 0.0513  3 Co 2.49-2.52, 2 Os 2.61
Ge 0.7500 0.4265 0.8168  3 Co 2.34-2.37, 1 Os 2.47
Ge 0.7500 0.8823 0.4087  3 Co 2.31-2.35, 2 Os 2.45

=====

no.,total magnetization (μB per cell)
1,2.65
2,0.00
3,0.00
4,0.00